1.
Density functional theory data (GGA-PBE) for a relaxed K2MnSb crystal.

uncorrected formation energy = 130 meV per atom

abc: 3.874 3.930 10.257
angles: 90.00 90.00 90.00
Element x y z (fractional)
K  0.000  0.000  0.000
K  0.500  0.500  0.390
Mn  0.000  0.000  0.677
Sb  0.500  0.500  0.731

=====

2.
Density functional theory data (GGA-PBE) for a relaxed KMn3Sb crystal.

uncorrected formation energy = 1960 meV per atom

abc: 4.935 4.935 4.935
angles: 90.00 90.00 90.00
Element x y z (fractional)
K  0.000  0.000  0.000
Mn  0.000  0.000  0.500
Mn  0.000  0.500  0.000
Mn  0.500  0.000  0.000
Sb  0.500  0.500  0.500

=====

3.
Density functional theory data (GGA-PBE) for a relaxed KMn2Sb crystal.

uncorrected formation energy = 514 meV per atom

abc: 5.327 5.327 18.291
angles: 90.00 90.00 90.00
Element x y z (fractional)
K  0.000  0.250  0.375
K  0.000  0.750  0.625
K  0.500  0.250  0.125
K  0.500  0.750  0.875
Mn  0.000  0.000  0.000
Mn  0.000  0.500  0.000
Mn  0.250  0.250  0.750
Mn  0.250  0.750  0.250
Mn  0.500  0.000  0.500
Mn  0.500  0.500  0.500
Mn  0.750  0.250  0.750
Mn  0.750  0.750  0.250
Sb  0.000  0.250  0.875
Sb  0.000  0.750  0.125
Sb  0.500  0.250  0.625
Sb  0.500  0.750  0.375

=====

- Look up the uncorrected formation energy of the first one.
  130 meV per atom